ZnCu2Ru, optimized geometry, DFT PBE; final energy = -18.26 eV/f.u.
1.0
-4.0255 -2.9005 -1.2021
-1.5410 -3.5814 3.2957
0.8084 4.9183 -1.1043
Ru Cu Zn
1 2 1
Direct
0.4985 0.4985 0.0000 Ru
0.2397 0.7397 0.5000 Cu
0.0017 0.0017 0.0000 Cu
0.7601 0.2601 0.5000 Zn


ZnCuRu, optimized geometry, DFT PBE; final energy = -14.22 eV/f.u.; energy above the lowest structure with this stoichiometry = 200 meV/atom
1.0
4.6650 -0.0188 0.0038
2.3649 4.0211 -0.0038
-3.0683 -2.7857 2.1419
Cu Zn Ru
1 1 1
Direct
0.0004 0.0004 0.0000 Cu
0.6648 0.6648 0.0000 Zn
0.3348 0.3348 0.0000 Ru